Crystalline TlVF3 at its relaxed geometry. Source: the Alexandria database, functional PBE+U.

## Properties
The value obtained for the theoretical density is 5.8 Mg/m³. As for the density of states at the Fermi level: 0.556 states/eV/atom. As for the spin magnetization: 2.5 μB/cell. For the offset from the most stable computed form, the calculation gives 459.7 meV/atom.

a = 3.490 Å, b = 3.490 Å, c = 7.349 Å
α = 90.00°, β = 90.00°, γ = 90.00°
Space group P4mm (No. 99)
Asymmetric unit:
Tl1 0.000 0.000 0.000 (multiplicity 1)
V1 0.500 0.500 0.481 (multiplicity 1)
F1 0.000 0.000 0.648 (multiplicity 1)
F2 0.000 0.500 0.353 (multiplicity 2)